LaTe2As: relaxed, PBE-GGA.

The raw formation energy is -68.50 kJ per mole of atoms. The density of states at the Fermi level comes out at 0.4403 states/eV/atom. The calculation puts the uncorrected energy at -37.4 eV/cell. The value obtained for the magnetic moment is 0.0 Bohr magnetons per cell.

It has space group Cmmm (No. 65), with a = 6.698 Å, b = 7.689 Å, c = 4.291 Å, α = 90.00°, β = 90.00° and γ = 90.00°. Symmetry generates all atoms from La at (0.000, 0.000, 0.000), Te at (0.250, 0.250, 0.500) and As at (0.000, 0.500, 0.000).